No. 1
# TlPd3 PBEsol relaxed
# SG: Pm-3m
# Energy of formation from the pure elements: -0.203 eV per atom
data_TlPd3
_chemical_formula_sum 'Tl1 Pd3'
_symmetry_space_group_name_H-M 'P 1'
_symmetry_Int_Tables_number 1
_symmetry_space_group_name_Hall 'P 1'
_cell_length_a 4.005
_cell_length_b 4.005
_cell_length_c 4.005
_cell_angle_alpha 90.00
_cell_angle_beta 90.00
_cell_angle_gamma 90.00
loop_
_atom_site_label
_atom_site_type_symbol
_atom_site_fract_x
_atom_site_fract_y
_atom_site_fract_z
_atom_site_occupancy
Tl1 Tl 0.000 0.000 0.000 1
Pd1 Pd 0.000 0.500 0.500 1
Pd2 Pd 0.500 0.000 0.500 1
Pd3 Pd 0.500 0.500 0.000 1

***

No. 2
# YTlPd PBEsol relaxed
# SG: P-62m
# Energy of formation from the pure elements: -0.712 eV per atom
data_YTlPd
_chemical_formula_sum 'Y3 Tl3 Pd3'
_symmetry_space_group_name_H-M 'P 1'
_symmetry_Int_Tables_number 1
_symmetry_space_group_name_Hall 'P 1'
_cell_length_a 7.650
_cell_length_b 7.650
_cell_length_c 3.810
_cell_angle_alpha 90.00
_cell_angle_beta 90.00
_cell_angle_gamma 120.00
loop_
_atom_site_label
_atom_site_type_symbol
_atom_site_fract_x
_atom_site_fract_y
_atom_site_fract_z
_atom_site_occupancy
Y1 Y 0.000 0.595 0.000 1
Y2 Y 0.405 0.405 0.000 1
Y3 Y 0.595 0.000 0.000 1
Tl1 Tl 0.000 0.265 0.500 1
Tl2 Tl 0.265 0.000 0.500 1
Tl3 Tl 0.735 0.735 0.500 1
Pd1 Pd 0.000 0.000 0.000 1
Pd2 Pd 0.333 0.667 0.500 1
Pd3 Pd 0.667 0.333 0.500 1

***

No. 3
# TlZn2Pd2 PBEsol relaxed
# Polymorph energy (0 for the lowest one): 110 meV per atom
# SG: I4/mmm
# Energy of formation from the pure elements: -0.120 eV per atom
data_TlZn2Pd2
_chemical_formula_sum 'Tl2 Zn4 Pd4'
_symmetry_space_group_name_H-M 'P 1'
_symmetry_Int_Tables_number 1
_symmetry_space_group_name_Hall 'P 1'
_cell_length_a 3.980
_cell_length_b 3.980
_cell_length_c 11.132
_cell_angle_alpha 90.00
_cell_angle_beta 90.00
_cell_angle_gamma 90.00
loop_
_atom_site_label
_atom_site_type_symbol
_atom_site_fract_x
_atom_site_fract_y
_atom_site_fract_z
_atom_site_occupancy
Tl1 Tl 0.000 0.000 0.000 1
Tl2 Tl 0.500 0.500 0.500 1
Zn1 Zn 0.000 0.000 0.388 1
Zn2 Zn 0.000 0.000 0.612 1
Zn3 Zn 0.500 0.500 0.112 1
Zn4 Zn 0.500 0.500 0.888 1
Pd1 Pd 0.000 0.500 0.250 1
Pd2 Pd 0.000 0.500 0.750 1
Pd3 Pd 0.500 0.000 0.250 1
Pd4 Pd 0.500 0.000 0.750 1

***

No. 4
# TlZn2Pd2 PBEsol relaxed
# Polymorph energy (0 for the lowest one): 0 meV per atom
# SG: I4/mmm
# Energy of formation from the pure elements: -0.230 eV per atom
data_TlZn2Pd2
_chemical_formula_sum 'Tl2 Zn4 Pd4'
_symmetry_space_group_name_H-M 'P 1'
_symmetry_Int_Tables_number 1
_symmetry_space_group_name_Hall 'P 1'
_cell_length_a 3.571
_cell_length_b 3.571
_cell_length_c 13.012
_cell_angle_alpha 90.00
_cell_angle_beta 90.00
_cell_angle_gamma 90.00
loop_
_atom_site_label
_atom_site_type_symbol
_atom_site_fract_x
_atom_site_fract_y
_atom_site_fract_z
_atom_site_occupancy
Tl1 Tl 0.000 0.000 0.000 1
Tl2 Tl 0.500 0.500 0.500 1
Zn1 Zn 0.000 0.500 0.250 1
Zn2 Zn 0.000 0.500 0.750 1
Zn3 Zn 0.500 0.000 0.250 1
Zn4 Zn 0.500 0.000 0.750 1
Pd1 Pd 0.000 0.000 0.395 1
Pd2 Pd 0.000 0.000 0.605 1
Pd3 Pd 0.500 0.500 0.105 1
Pd4 Pd 0.500 0.500 0.895 1

***

No. 5
# ZrTl2Pd PBEsol relaxed
# SG: Fm-3m
# Energy of formation from the pure elements: -0.092 eV per atom
data_ZrTl2Pd
_chemical_formula_sum 'Zr4 Tl8 Pd4'
_symmetry_space_group_name_H-M 'P 1'
_symmetry_Int_Tables_number 1
_symmetry_space_group_name_Hall 'P 1'
_cell_length_a 6.843
_cell_length_b 6.843
_cell_length_c 6.843
_cell_angle_alpha 90.00
_cell_angle_beta 90.00
_cell_angle_gamma 90.00
loop_
_atom_site_label
_atom_site_type_symbol
_atom_site_fract_x
_atom_site_fract_y
_atom_site_fract_z
_atom_site_occupancy
Zr1 Zr 0.000 0.000 0.000 1
Zr2 Zr 0.000 0.500 0.500 1
Zr3 Zr 0.500 0.000 0.500 1
Zr4 Zr 0.500 0.500 0.000 1
Tl1 Tl 0.250 0.250 0.250 1
Tl2 Tl 0.250 0.250 0.750 1
Tl3 Tl 0.250 0.750 0.250 1
Tl4 Tl 0.250 0.750 0.750 1
Tl5 Tl 0.750 0.250 0.250 1
Tl6 Tl 0.750 0.250 0.750 1
Tl7 Tl 0.750 0.750 0.250 1
Tl8 Tl 0.750 0.750 0.750 1
Pd1 Pd 0.000 0.000 0.500 1
Pd2 Pd 0.000 0.500 0.000 1
Pd3 Pd 0.500 0.000 0.000 1
Pd4 Pd 0.500 0.500 0.500 1

***

No. 6
# ZrTl3Pd PBEsol relaxed
# SG: Pm-3m
# Energy of formation from the pure elements: 0.510 eV per atom
data_ZrTl3Pd
_chemical_formula_sum 'Zr1 Tl3 Pd1'
_symmetry_space_group_name_H-M 'P 1'
_symmetry_Int_Tables_number 1
_symmetry_space_group_name_Hall 'P 1'
_cell_length_a 5.081
_cell_length_b 5.081
_cell_length_c 5.081
_cell_angle_alpha 90.00
_cell_angle_beta 90.00
_cell_angle_gamma 90.00
loop_
_atom_site_label
_atom_site_type_symbol
_atom_site_fract_x
_atom_site_fract_y
_atom_site_fract_z
_atom_site_occupancy
Zr1 Zr 0.000 0.000 0.000 1
Tl1 Tl 0.000 0.500 0.500 1
Tl2 Tl 0.500 0.000 0.500 1
Tl3 Tl 0.500 0.500 0.000 1
Pd1 Pd 0.500 0.500 0.500 1

***

Number 1: density 13.53 g/cm³. Number 2: density 10.31 g/cm³. Number 3: density 10.32 g/cm³. Number 4: density 10.97 g/cm³. Number 5: density 12.57 g/cm³. Number 6: density 10.26 g/cm³.